No. 1
First-principles (PBE) data for crystalline KGaHgBi at its relaxed geometry, as listed in Alexandria.

Space group   No. 216
VASP energy   -2.167 eV/atom
Magnetization   0.00 μB per formula unit
DOS(E_F)   3.5 states/eV/cell

Cell and atoms, written as POSCAR:
```
KGaHgBi
1.0
5.5029 0.0000 0.0000
2.7514 4.7656 0.0000
2.7514 1.5885 4.4931
Ga K Hg Bi
1 1 1 1
direct
0.7500 0.7500 0.7500
0.0000 0.0000 0.0000
0.2500 0.2500 0.2500
0.5000 0.5000 0.5000
```


No. 2
First-principles (PBE) data for crystalline VIr3Cl at its relaxed geometry, as listed in Alexandria.

Formation energy without anion corrections   1.481 eV per atom
Space group   No. 221
Magnetization   1.84 μB per formula unit
DOS(E_F)   6.5 states/eV/cell

Cell and atoms, written as POSCAR:
```
VIr3Cl
1.0
4.4085 0.0000 0.0000
0.0000 4.4085 0.0000
0.0000 0.0000 4.4085
Ir Cl V
3 1 1
direct
0.0000 0.0000 0.5000
0.5000 0.0000 0.0000
0.0000 0.5000 0.0000
0.0000 0.0000 0.0000
0.5000 0.5000 0.5000
```


No. 3
First-principles (PBE) data for crystalline Pr3Ho4Tm5 at its relaxed geometry, as listed in Alexandria.

Space group   No. 2
VASP energy   -4.560 eV/atom
Magnetization   0.00 μB per formula unit
DOS(E_F)   16.1 states/eV/cell

Cell and atoms, written as POSCAR:
```
Pr3Ho4Tm5
1.0
6.2795 -1.7214 2.8660
-6.7720 9.1731 -10.4695
5.1024 -6.4580 15.7202
Ho Tm Pr
4 5 3
direct
0.1656 0.3338 0.1660
0.0795 0.1635 0.3330
0.8344 0.6662 0.8340
0.9205 0.8365 0.6670
0.3321 0.6679 0.8333
0.6679 0.3321 0.1667
0.5000 0.0000 0.5000
0.7469 0.5003 0.9995
0.2531 0.4997 0.0005
0.5819 0.1660 0.3324
0.4181 0.8340 0.6676
0.0000 0.0000 0.5000
```